--- 1 ---
This record from Alexandria describes an optimized crystal structure of La2OsW. The functional is PBE.

Unit cell a=9.9871 b=9.9871 c=9.9871 alpha=18.87 beta=18.87 gamma=18.87
Closest atoms and distances in Å follow each position.
Fractional positions:
La: 0.2451 0.2451 0.2451  3 Os 2.98, 3 W 3.21, 6 La 3.27
La: 0.7549 0.7549 0.7549  3 Os 2.98, 3 W 3.21, 6 La 3.27
Os: 0.5000 0.5000 0.5000  6 La 2.98, 6 Os 3.27
W: 0.0000 0.0000 0.0000  6 La 3.21, 6 W 3.27

Calculated values
total moment = 0.07 μB/atom
space group = R-3m, No. 166

--- 2 ---
This record from Alexandria describes an optimized crystal structure of La2OsW. The functional is PBE.

Unit cell a=5.1251 b=5.1251 c=3.5658 alpha=90.00 beta=90.00 gamma=90.00
Closest atoms and distances in Å follow each position.
Fractional positions:
La: 0.0000 0.5000 0.0000  4 W 3.12, 4 Os 3.12
La: 0.5000 0.0000 0.0000  4 W 3.12, 4 Os 3.12
Os: 0.0000 0.0000 0.5000  8 La 3.12
W: 0.5000 0.5000 0.5000  8 La 3.12

Calculated values
total moment = 0.41 μB/atom
space group = P4/mmm, No. 123

Which structure loses on stability? 1 does.

--- 1 ---
This record from Alexandria describes an optimized crystal structure of LaOsW. The functional is PBE.

Unit cell a=7.7670 b=7.5468 c=2.9157 alpha=83.31 beta=74.80 gamma=21.89
Closest atoms and distances in Å follow each position.
Fractional positions:
La: 0.0000 0.0000 0.0000  6 La 2.92-3.20, 2 Os 3.03, 2 W 3.21
Os: 0.3258 0.3258 0.6742  2 W 2.58
W: 0.6890 0.6890 0.3110  2 Os 2.58

Calculated values
total moment = 0.00 μB/atom
space group = Fmm2, No. 42

--- 2 ---
This record from Alexandria describes an optimized crystal structure of LaOsW. The functional is PBE.

Unit cell a=6.5989 b=6.5989 c=6.5989 alpha=152.20 beta=152.20 gamma=39.72
Closest atoms and distances in Å follow each position.
Fractional positions:
La: 0.0000 0.0000 0.0000  4 La 3.17, 4 Os 3.31, 4 W 3.35
Os: 0.3040 0.3040 0.0000  4 W 2.58
W: 0.7008 0.7008 0.0000  4 Os 2.58

Calculated values
total moment = 0.00 μB/atom
space group = I4mm, No. 107

--- 3 ---
This record from Alexandria describes an optimized crystal structure of LaOsW. The functional is PBE.

Unit cell a=4.6860 b=4.6860 c=3.0473 alpha=90.00 beta=90.00 gamma=120.00
Closest atoms and distances in Å follow each position.
Fractional positions:
La: 0.0000 0.0000 0.0000  3 W 2.91, 3 Os 2.92, 2 La 3.05
Os: 0.6667 0.3333 0.3564  3 W 2.85, 3 La 2.92, 2 Os 3.05
W: 0.3333 0.6667 0.6478  3 Os 2.85, 3 La 2.91, 2 W 3.05

Calculated values
total moment = 0.00 μB/atom
space group = P3m1, No. 156

--- 4 ---
This record from Alexandria describes an optimized crystal structure of LaOsW. The functional is PBE.

Unit cell a=4.4644 b=4.4644 c=7.0070 alpha=90.00 beta=90.00 gamma=90.00
Closest atoms and distances in Å follow each position.
Fractional positions:
La: 0.2500 0.2500 0.1417  5 Os 3.27-3.41, 4 W 3.36
La: 0.7500 0.7500 0.8583  5 Os 3.27-3.41, 4 W 3.36
Os: 0.2500 0.2500 0.6756  4 W 2.55
Os: 0.7500 0.7500 0.3244  4 W 2.55
W: 0.2500 0.7500 0.5000  4 Os 2.55
W: 0.7500 0.2500 0.5000  4 Os 2.55

Calculated values
total moment = 0.00 μB/atom
space group = P4/nmm, No. 129

Which structure loses on stability? 3 does.

--- 1 ---
This record from Alexandria describes an optimized crystal structure of LaOsW. The functional is PBE.

Unit cell a=2.9358 b=2.9358 c=7.7621 alpha=90.00 beta=90.00 gamma=120.00
Closest atoms and distances in Å follow each position.
Fractional positions:
La: 0.0000 0.0000 0.0000  6 La 2.94, 3 Os 3.28
Os: 0.3333 0.6667 0.3611  3 W 2.64, 6 Os 2.94
W: 0.6667 0.3333 0.6218  3 Os 2.64, 6 W 2.94

Calculated values
total moment = 0.00 μB/atom
space group = P3m1, No. 156

--- 2 ---
This record from Alexandria describes an optimized crystal structure of LaOsW. The functional is PBE.

Unit cell a=4.6164 b=4.6164 c=4.6164 alpha=60.00 beta=60.00 gamma=60.00
Closest atoms and distances in Å follow each position.
Fractional positions:
La: 0.0000 0.0000 0.0000  4 Os 2.83
Os: 0.7500 0.7500 0.7500  4 W 2.83, 4 La 2.83
W: 0.5000 0.5000 0.5000  4 Os 2.83

Calculated values
total moment = 0.00 μB/atom
space group = F-43m, No. 216

--- 3 ---
This record from Alexandria describes an optimized crystal structure of LaOsW. The functional is PBE.

Unit cell a=4.4865 b=4.4865 c=4.4865 alpha=60.00 beta=60.00 gamma=60.00
Closest atoms and distances in Å follow each position.
Fractional positions:
La: 0.0000 0.0000 0.0000  4 W 2.75, 4 Os 2.75
Os: 0.7500 0.7500 0.7500  4 La 2.75
W: 0.2500 0.2500 0.2500  4 La 2.75

Calculated values
total moment = 0.00 μB/atom
space group = F-43m, No. 216

--- 4 ---
This record from Alexandria describes an optimized crystal structure of LaOsW. The functional is PBE.

Unit cell a=6.0641 b=6.0641 c=6.0641 alpha=150.31 beta=141.97 gamma=48.97
Closest atoms and distances in Å follow each position.
Fractional positions:
La: 0.0000 0.0000 0.0000  1 W 3.02, 1 Os 3.04, 2 La 3.11
Os: 0.7243 0.7243 0.0000  4 W 2.57
W: 0.2735 0.2735 0.0000  4 Os 2.57

Calculated values
total moment = 0.00 μB/atom
space group = Imm2, No. 44

Which structure loses on stability? 3 does.

--- 1 ---
This record from Alexandria describes an optimized crystal structure of LaOs3W. The functional is PBE.

Unit cell a=4.7913 b=4.7913 c=4.7913 alpha=90.00 beta=90.00 gamma=90.00
Closest atoms and distances in Å follow each position.
Fractional positions:
La: 0.0000 0.0000 0.0000  12 Os 3.39
Os: 0.0000 0.5000 0.5000  2 W 2.40
Os: 0.5000 0.0000 0.5000  2 W 2.40
Os: 0.5000 0.5000 0.0000  2 W 2.40
W: 0.5000 0.5000 0.5000  6 Os 2.40

Calculated values
total moment = 0.00 μB/atom
space group = Pm-3m, No. 221

--- 2 ---
This record from Alexandria describes an optimized crystal structure of LaOs3W. The functional is PBE.

Unit cell a=4.7205 b=4.7205 c=4.7205 alpha=90.00 beta=90.00 gamma=90.00
Closest atoms and distances in Å follow each position.
Fractional positions:
La: 0.0000 0.0000 0.0000  6 Os 2.36
Os: 0.0000 0.0000 0.5000  2 La 2.36
Os: 0.0000 0.5000 0.0000  2 La 2.36
Os: 0.5000 0.0000 0.0000  2 La 2.36
W: 0.5000 0.5000 0.5000  12 Os 3.34

Calculated values
total moment = 0.08 μB/atom
space group = Pm-3m, No. 221

Which structure loses on stability? 2 does.

--- 1 ---
This record from Alexandria describes an optimized crystal structure of LaOs2W2. The functional is PBE.

Unit cell a=6.1636 b=6.1636 c=6.1636 alpha=138.29 beta=138.29 gamma=60.46
Closest atoms and distances in Å follow each position.
Fractional positions:
La: 0.0000 0.0000 0.0000  8 Os 3.39, 8 W 3.45
Os: 0.3722 0.3722 0.0000  4 W 2.55, 1 Os 2.72
Os: 0.6278 0.6278 0.0000  4 W 2.55, 1 Os 2.72
W: 0.2500 0.7500 0.5000  4 Os 2.55
W: 0.7500 0.2500 0.5000  4 Os 2.55

Calculated values
total moment = 0.00 μB/atom
space group = I4/mmm, No. 139

--- 2 ---
This record from Alexandria describes an optimized crystal structure of LaOs2W2. The functional is PBE.

Unit cell a=6.2568 b=6.2568 c=6.2568 alpha=139.45 beta=139.45 gamma=58.70
Closest atoms and distances in Å follow each position.
Fractional positions:
La: 0.0000 0.0000 0.0000  8 W 3.36, 8 Os 3.48
Os: 0.2500 0.7500 0.5000  4 W 2.55
Os: 0.7500 0.2500 0.5000  4 W 2.55
W: 0.3733 0.3733 0.0000  4 Os 2.55, 1 W 2.76
W: 0.6267 0.6267 0.0000  4 Os 2.55, 1 W 2.76

Calculated values
total moment = 0.00 μB/atom
space group = I4/mmm, No. 139

Which structure loses on stability? 2 does.